1.
Density functional theory data (PBE) for crystalline LaCeSm14 at its relaxed geometry.

Energy of formation (meV/atom): 33
Crystal system: tetragonal
SG: No. 123
Uncorrected energy (eV/atom): -4.775

a = 7.2673 Å, b = 7.2673 Å, c = 10.2741 Å
α = 90.00°, β = 90.00°, γ = 89.98°
With the nearest neighbours (Å) after each atom.
Atoms (fractional coordinates):
Sm: 0.3748 0.1248 0.5000  12 Sm 3.63
Sm: 0.6273 0.8773 0.7499  10 Sm 3.60-3.67, 1 Ce 3.62, 1 La 3.65
Sm: 0.6273 0.3727 0.7496  10 Sm 3.60-3.67, 1 Ce 3.62, 1 La 3.65
Sm: 0.3750 0.6250 0.5000  12 Sm 3.63-3.65
Sm: 0.8752 0.6252 0.5000  12 Sm 3.63
Sm: 0.1227 0.3727 0.7499  10 Sm 3.60-3.67, 1 Ce 3.62, 1 La 3.65
Sm: 0.1227 0.3727 0.2501  10 Sm 3.60-3.67, 1 Ce 3.62, 1 La 3.65
Sm: 0.1227 0.8773 0.2500  10 Sm 3.60-3.67, 1 Ce 3.61, 1 La 3.65
Sm: 0.8750 0.1250 0.5000  12 Sm 3.61-3.63
Sm: 0.1227 0.8773 0.7500  10 Sm 3.60-3.67, 1 Ce 3.61, 1 La 3.65
Sm: 0.3754 0.1252 0.0000  2 Ce 3.63, 2 La 3.63, 8 Sm 3.63-3.64
Sm: 0.6273 0.8773 0.2501  10 Sm 3.60-3.67, 1 Ce 3.62, 1 La 3.65
Sm: 0.6273 0.3727 0.2504  10 Sm 3.60-3.67, 1 Ce 3.62, 1 La 3.65
Sm: 0.8748 0.6246 0.0000  2 Ce 3.63, 2 La 3.63, 8 Sm 3.63-3.64
La: 0.3749 0.6251 0.0000  12 Sm 3.63-3.65
Ce: 0.8752 0.1248 0.0000  12 Sm 3.61-3.63



2.
Density functional theory data (PBE) for crystalline LaCe2Sm at its relaxed geometry.

Energy of formation (meV/atom): 468
Crystal system: trigonal
Excess energy over the best structure of this formula in the dataset (meV per atom): 355
SG: No. 160
Uncorrected energy (eV/atom): -4.911

a = 4.1500 Å, b = 4.1500 Å, c = 8.9265 Å
α = 76.56°, β = 76.56°, γ = 60.00°
With the nearest neighbours (Å) after each atom.
Atoms (fractional coordinates):
Ce: 0.0640 0.0640 0.8079  3 La 2.85
Ce: 0.2665 0.2665 0.2006  3 La 3.02
La: 0.6708 0.6708 0.9875  6 Ce 2.85-3.02
Sm: 0.4987 0.4987 0.5040  6 Ce 3.54



3.
Density functional theory data (PBE) for crystalline La8CeSm2 at its relaxed geometry.

Energy of formation (meV/atom): 97
Crystal system: orthorhombic
SG: No. 71
Uncorrected energy (eV/atom): -4.884

a = 5.8012 Å, b = 8.2452 Å, c = 9.5999 Å
α = 115.43°, β = 107.59°, γ = 90.00°
With the nearest neighbours (Å) after each atom.
Atoms (fractional coordinates):
Sm: 0.7990 0.2990 0.5979  10 La 3.56-3.75
Sm: 0.2010 0.7010 0.4021  10 La 3.56-3.75
La: 0.1588 0.1588 0.3176  8 La 3.48-3.84, 2 Sm 3.70, 2 Ce 3.89
La: 0.3685 0.5785 0.7369  1 Ce 3.21, 1 La 3.46, 2 Sm 3.56
La: 0.6316 0.8416 0.2631  1 Ce 3.21, 1 La 3.46, 2 Sm 3.56
La: 0.8412 0.8412 0.6824  8 La 3.48-3.84, 2 Sm 3.70, 2 Ce 3.89
La: 0.0000 0.2808 0.0000  7 La 3.48-3.61, 2 Ce 3.71, 2 Sm 3.75
La: 0.3684 0.1584 0.7369  1 Ce 3.21, 1 La 3.46, 2 Sm 3.56
La: 0.6315 0.4215 0.2631  1 Ce 3.21, 1 La 3.46, 2 Sm 3.56
La: 0.0000 0.7192 0.0000  7 La 3.48-3.61, 2 Ce 3.71, 2 Sm 3.75
Ce: 0.5000 0.0000 0.0000  4 La 3.21



4.
Density functional theory data (PBE) for crystalline La5CeSm2 at its relaxed geometry.

Energy of formation (meV/atom): 41
Crystal system: orthorhombic
SG: No. 55
Uncorrected energy (eV/atom): -4.960

a = 5.1993 Å, b = 7.3472 Å, c = 14.6842 Å
α = 90.00°, β = 90.00°, γ = 90.00°
With the nearest neighbours (Å) after each atom.
Atoms (fractional coordinates):
Ce: 0.0000 0.0000 0.5000  8 La 3.63-3.67, 4 Sm 3.64
Ce: 0.0000 0.5000 0.0000  8 La 3.63-3.67, 4 Sm 3.64
Sm: 0.5000 0.7549 0.3779  10 La 3.59-3.76, 2 Ce 3.64
Sm: 0.5000 0.2451 0.6221  10 La 3.59-3.76, 2 Ce 3.64
Sm: 0.5000 0.2549 0.1221  10 La 3.59-3.76, 2 Ce 3.64
Sm: 0.5000 0.7451 0.8779  10 La 3.59-3.76, 2 Ce 3.64
La: 0.0000 0.5000 0.5000  4 Sm 3.67, 6 La 3.67-3.71, 2 Ce 3.67
La: 0.0000 0.4978 0.7528  1 Ce 3.63, 7 La 3.65-3.75, 4 Sm 3.66-3.73
La: 0.5000 0.2446 0.3779  4 Sm 3.59-3.76, 2 Ce 3.63, 6 La 3.65-3.75
La: 0.5000 0.7446 0.1221  4 Sm 3.59-3.76, 2 Ce 3.63, 6 La 3.65-3.75
La: 0.5000 0.2554 0.8779  4 Sm 3.59-3.76, 2 Ce 3.63, 6 La 3.65-3.75
La: 0.0000 0.0022 0.2528  1 Ce 3.63, 7 La 3.65-3.75, 4 Sm 3.66-3.73
La: 0.0000 0.5022 0.2472  1 Ce 3.63, 7 La 3.65-3.75, 4 Sm 3.66-3.73
La: 0.5000 0.7554 0.6221  4 Sm 3.59-3.76, 2 Ce 3.63, 6 La 3.65-3.75
La: 0.0000 0.0000 0.0000  4 Sm 3.67, 6 La 3.67-3.71, 2 Ce 3.67
La: 0.0000 0.9978 0.7472  1 Ce 3.63, 7 La 3.65-3.75, 4 Sm 3.66-3.73



5.
Density functional theory data (PBE) for crystalline La2CeSm8 at its relaxed geometry.

Energy of formation (meV/atom): 43
Crystal system: monoclinic
SG: No. 12
Uncorrected energy (eV/atom): -4.824

a = 5.1515 Å, b = 8.1536 Å, c = 9.6390 Å
α = 104.65°, β = 105.50°, γ = 90.00°
With the nearest neighbours (Å) after each atom.
Atoms (fractional coordinates):
La: 0.7718 0.3626 0.5436  2 La 3.64, 10 Sm 3.65-3.72
La: 0.2282 0.6374 0.4564  2 La 3.64, 10 Sm 3.65-3.72
Sm: 0.1338 0.1752 0.2676  7 Sm 3.57-3.70, 2 Ce 3.60, 3 La 3.67-3.72
Sm: 0.8662 0.8248 0.7324  7 Sm 3.57-3.70, 2 Ce 3.60, 3 La 3.67-3.72
Sm: 0.6793 0.9068 0.3586  1 Ce 3.61, 8 Sm 3.62-3.71, 3 La 3.65-3.66
Sm: 0.9564 0.2690 0.9127  9 Sm 3.57-3.69, 2 Ce 3.61, 1 La 3.70
Sm: 0.0436 0.7310 0.0873  9 Sm 3.57-3.69, 2 Ce 3.61, 1 La 3.70
Sm: 0.5893 0.4513 0.1786  8 Sm 3.61-3.68, 1 Ce 3.62, 3 La 3.65-3.68
Sm: 0.3207 0.0932 0.6414  1 Ce 3.61, 8 Sm 3.62-3.71, 3 La 3.65-3.66
Sm: 0.4107 0.5487 0.8214  8 Sm 3.61-3.68, 1 Ce 3.62, 3 La 3.65-3.68
Ce: 0.5000 0.0000 0.0000  12 Sm 3.60-3.62



6.
Density functional theory data (PBE) for crystalline La3CeSm4 at its relaxed geometry.

Energy of formation (meV/atom): 209
Crystal system: monoclinic
SG: No. 12
Uncorrected energy (eV/atom): -4.740

a = 3.4740 Å, b = 6.1922 Å, c = 13.0861 Å
α = 95.37°, β = 97.63°, γ = 90.00°
With the nearest neighbours (Å) after each atom.
Atoms (fractional coordinates):
La: 0.8543 0.2690 0.7087  3 Sm 3.26-3.44, 2 La 3.47
La: 0.0000 0.5000 0.0000  2 Sm 3.38, 2 La 3.47, 4 Ce 3.55
La: 0.1457 0.7310 0.2913  3 Sm 3.26-3.44, 2 La 3.47
Sm: 0.1049 0.2138 0.2097  3 La 3.26-3.38, 2 Ce 3.39, 4 Sm 3.47
Sm: 0.8951 0.7862 0.7903  3 La 3.26-3.38, 2 Ce 3.39, 4 Sm 3.47
Sm: 0.2789 0.7612 0.5578  1 La 3.44, 8 Sm 3.47-3.85
Sm: 0.7211 0.2388 0.4422  1 La 3.44, 8 Sm 3.47-3.85
Ce: 0.5000 0.0000 0.0000  4 Sm 3.39, 2 Ce 3.47, 4 La 3.55



7.
Density functional theory data (PBE) for crystalline La3CeSm6 at its relaxed geometry.

Energy of formation (meV/atom): 278
Crystal system: monoclinic
SG: No. 12
Uncorrected energy (eV/atom): -4.625

a = 8.7334 Å, b = 9.0872 Å, c = 6.3661 Å
α = 97.72°, β = 133.31°, γ = 90.00°
With the nearest neighbours (Å) after each atom.
Atoms (fractional coordinates):
Sm: 0.0624 0.6455 0.7610  2 Sm 3.18-3.45, 2 La 3.30-3.53, 1 Ce 3.35
Sm: 0.3825 0.1287 0.7650  1 Ce 3.35, 1 Sm 3.48, 3 La 3.52-3.61
Sm: 0.6175 0.8713 0.2350  1 Ce 3.35, 1 Sm 3.48, 3 La 3.52-3.61
Sm: 0.3015 0.3545 0.2390  2 Sm 3.18-3.45, 2 La 3.30-3.53, 1 Ce 3.35
Sm: 0.6985 0.6455 0.7610  2 Sm 3.18-3.45, 2 La 3.30-3.53, 1 Ce 3.35
Sm: 0.9376 0.3545 0.2390  2 Sm 3.18-3.45, 2 La 3.30-3.53, 1 Ce 3.35
La: 0.0000 0.0000 0.0000  2 La 3.45, 6 Sm 3.52-3.58
La: 0.2252 0.7367 0.4505  6 Sm 3.30-3.61, 1 La 3.45, 1 Ce 3.62
La: 0.7748 0.2633 0.5495  6 Sm 3.30-3.61, 1 La 3.45, 1 Ce 3.62
Ce: 0.5000 0.5000 0.0000  6 Sm 3.35, 2 La 3.62



8.
Density functional theory data (PBE) for crystalline LaCeSm at its relaxed geometry.

Energy of formation (meV/atom): 68
Crystal system: triclinic
Excess energy over the best structure of this formula in the dataset (meV per atom): 5
SG: No. 2
Uncorrected energy (eV/atom): -5.126

a = 6.2522 Å, b = 3.6179 Å, c = 17.3846 Å
α = 102.01°, β = 32.93°, γ = 89.98°
With the nearest neighbours (Å) after each atom.
Atoms (fractional coordinates):
Ce: 0.2766 0.2746 0.5735  3 La 3.48-3.49, 3 Sm 3.48-3.51, 6 Ce 3.57-3.66
Ce: 0.7596 0.7769 0.5773  3 La 3.48-3.49, 3 Sm 3.48-3.51, 6 Ce 3.57-3.66
Sm: 0.8476 0.6006 0.8987  3 Ce 3.48-3.51, 5 La 3.60-3.77, 4 Sm 3.62-3.73
Sm: 0.1885 0.4509 0.2521  3 Ce 3.48-3.51, 5 La 3.60-3.77, 4 Sm 3.62-3.73
La: 0.6731 0.9568 0.2581  3 Ce 3.48-3.49, 5 Sm 3.60-3.77, 4 La 3.62-3.81
La: 0.3631 0.0947 0.8927  3 Ce 3.48-3.49, 5 Sm 3.60-3.77, 4 La 3.62-3.81



9.
Density functional theory data (PBE) for crystalline La6CeSm3 at its relaxed geometry.

Energy of formation (meV/atom): 202
Crystal system: monoclinic
SG: No. 12
Uncorrected energy (eV/atom): -4.763

a = 6.9631 Å, b = 9.9336 Å, c = 6.8243 Å
α = 114.28°, β = 120.67°, γ = 90.00°
With the nearest neighbours (Å) after each atom.
Atoms (fractional coordinates):
La: 0.5375 0.6786 0.6249  2 La 3.13-3.14, 3 Sm 3.41-3.46
La: 0.4625 0.3214 0.3751  2 La 3.13-3.14, 3 Sm 3.41-3.46
La: 0.0874 0.6786 0.6249  2 La 3.13-3.14, 3 Sm 3.41-3.46
La: 0.9126 0.3214 0.3751  2 La 3.13-3.14, 3 Sm 3.41-3.46
La: 0.6494 0.9169 0.2988  1 Ce 3.64, 4 Sm 3.73-3.99, 2 La 3.84
La: 0.3506 0.0831 0.7012  1 Ce 3.64, 4 Sm 3.73-3.99, 2 La 3.84
Sm: 0.0000 0.0000 0.0000  2 Sm 3.44, 6 La 3.46-3.79
Sm: 0.9387 0.3061 0.8774  5 La 3.41-3.73, 2 Sm 3.41-3.44
Sm: 0.0613 0.6939 0.1226  5 La 3.41-3.73, 2 Sm 3.41-3.44
Ce: 0.5000 0.5000 0.0000  10 La 3.64-3.77, 4 Sm 3.88



10.
Density functional theory data (PBE) for crystalline La4CeSm at its relaxed geometry.

Energy of formation (meV/atom): 178
Crystal system: monoclinic
SG: No. 12
Uncorrected energy (eV/atom): -4.882

a = 3.5094 Å, b = 6.0994 Å, c = 11.6636 Å
α = 117.38°, β = 90.00°, γ = 106.72°
With the nearest neighbours (Å) after each atom.
Atoms (fractional coordinates):
La: 0.3409 0.6818 0.6664  1 Ce 3.41, 3 Sm 3.49-3.71, 5 La 3.51-3.73
La: 0.6591 0.3182 0.3336  1 Ce 3.41, 3 Sm 3.49-3.71, 5 La 3.51-3.73
La: 0.8396 0.6791 0.1551  3 Ce 3.48-3.62, 7 La 3.51-3.73, 1 Sm 3.53
La: 0.1604 0.3209 0.8449  3 Ce 3.48-3.62, 7 La 3.51-3.73, 1 Sm 3.53
Sm: 0.0000 0.0000 0.5000  8 La 3.49-3.71, 2 Sm 3.51
Ce: 0.5000 0.0000 0.0000  8 La 3.41-3.62, 2 Ce 3.51



11.
Density functional theory data (PBE) for crystalline La7CeSm12 at its relaxed geometry.

Energy of formation (meV/atom): 584
Crystal system: cubic
Excess energy over the best structure of this formula in the dataset (meV per atom): 385
SG: No. 204
Uncorrected energy (eV/atom): -4.269

a = 10.0218 Å, b = 10.0218 Å, c = 10.0218 Å
α = 109.47°, β = 109.47°, γ = 109.47°
With the nearest neighbours (Å) after each atom.
Atoms (fractional coordinates):
Sm: 0.7526 0.5037 0.7512  2 La 2.89
Sm: 0.7512 0.2474 0.9986  2 La 2.89
Sm: 0.7512 0.7526 0.5037  2 La 2.89
Sm: 0.2488 0.2474 0.4963  2 La 2.89
Sm: 0.5037 0.7512 0.7526  2 La 2.89
Sm: 0.2474 0.4963 0.2488  2 La 2.89
Sm: 0.2474 0.9986 0.7512  2 La 2.89
Sm: 0.9986 0.7512 0.2474  2 La 2.89
Sm: 0.2488 0.7526 0.0014  2 La 2.89
Sm: 0.0014 0.2488 0.7526  2 La 2.89
Sm: 0.7526 0.0014 0.2488  2 La 2.89
Sm: 0.4963 0.2488 0.2474  2 La 2.89
La: 0.5000 0.0000 0.5000  12 Sm 4.08-4.12
La: 0.5000 0.5000 0.5000  6 Sm 2.89
La: 0.5000 0.0000 0.0000  6 Sm 2.89
La: 0.5000 0.5000 0.0000  12 Sm 4.08-4.12
La: 0.0000 0.0000 0.5000  6 Sm 2.89
La: 0.0000 0.5000 0.5000  12 Sm 4.08-4.12
La: 0.0000 0.5000 0.0000  6 Sm 2.89
Ce: 0.0000 0.0000 0.0000  12 Sm 4.06



12.
Density functional theory data (PBE) for crystalline LaCeSm6 at its relaxed geometry.

Energy of formation (meV/atom): 46
Crystal system: tetragonal
SG: No. 123
Uncorrected energy (eV/atom): -4.851

a = 5.1326 Å, b = 5.1326 Å, c = 10.2629 Å
α = 90.00°, β = 90.00°, γ = 90.00°
With the nearest neighbours (Å) after each atom.
Atoms (fractional coordinates):
La: 0.0000 0.0000 0.0000  12 Sm 3.63-3.67
Sm: 0.5000 0.0000 0.2555  2 Ce 3.59, 8 Sm 3.59-3.67, 2 La 3.67
Sm: 0.0000 0.5000 0.2555  2 Ce 3.59, 8 Sm 3.59-3.67, 2 La 3.67
Sm: 0.0000 0.5000 0.7445  2 Ce 3.59, 8 Sm 3.59-3.67, 2 La 3.67
Sm: 0.5000 0.5000 0.5000  8 Sm 3.59, 4 Ce 3.63
Sm: 0.5000 0.0000 0.7445  2 Ce 3.59, 8 Sm 3.59-3.67, 2 La 3.67
Sm: 0.5000 0.5000 0.0000  4 La 3.63, 8 Sm 3.67
Ce: 0.0000 0.0000 0.5000  12 Sm 3.59-3.63



Question: uncorrected energy of number 8 (LaCeSm)?
Answer: -5.126 eV/atom



Please write out number 7 again, unchanged.
Density functional theory data (PBE) for crystalline La3CeSm6 at its relaxed geometry.

Energy of formation (meV/atom): 278
Crystal system: monoclinic
SG: No. 12
Uncorrected energy (eV/atom): -4.625

a = 8.7334 Å, b = 9.0872 Å, c = 6.3661 Å
α = 97.72°, β = 133.31°, γ = 90.00°
With the nearest neighbours (Å) after each atom.
Atoms (fractional coordinates):
Sm: 0.0624 0.6455 0.7610  2 Sm 3.18-3.45, 2 La 3.30-3.53, 1 Ce 3.35
Sm: 0.3825 0.1287 0.7650  1 Ce 3.35, 1 Sm 3.48, 3 La 3.52-3.61
Sm: 0.6175 0.8713 0.2350  1 Ce 3.35, 1 Sm 3.48, 3 La 3.52-3.61
Sm: 0.3015 0.3545 0.2390  2 Sm 3.18-3.45, 2 La 3.30-3.53, 1 Ce 3.35
Sm: 0.6985 0.6455 0.7610  2 Sm 3.18-3.45, 2 La 3.30-3.53, 1 Ce 3.35
Sm: 0.9376 0.3545 0.2390  2 Sm 3.18-3.45, 2 La 3.30-3.53, 1 Ce 3.35
La: 0.0000 0.0000 0.0000  2 La 3.45, 6 Sm 3.52-3.58
La: 0.2252 0.7367 0.4505  6 Sm 3.30-3.61, 1 La 3.45, 1 Ce 3.62
La: 0.7748 0.2633 0.5495  6 Sm 3.30-3.61, 1 La 3.45, 1 Ce 3.62
Ce: 0.5000 0.5000 0.0000  6 Sm 3.35, 2 La 3.62